P) The following is a DFT calculation (PBE) of crystalline CaPWCl2 at its relaxed geometry.

* density of states at the Fermi level: 3.8 states/eV per cell
* crystal system: tetragonal
* calculated volume: 113 Å³/cell

```
CaPWCl2
1.0
4.8420 0.0000 0.0000
0.0000 4.8420 0.0000
0.0000 0.0000 4.8121
Ca P W Cl
1 1 1 2
direct
0.0000 0.0000 0.0000 Ca
0.5000 0.5000 0.0000 P
0.5000 0.5000 0.5000 W
0.0000 0.5000 0.5000 Cl
0.5000 0.0000 0.5000 Cl
```

Q) The following is a DFT calculation (PBE) of crystalline CaPWCl2 at its relaxed geometry.

* density of states at the Fermi level: 5.7 states/eV per cell
* crystal system: tetragonal
* calculated volume: 153 Å³/cell

```
CaPWCl2
1.0
4.9082 0.0000 0.0000
0.0000 4.9082 0.0000
0.0000 0.0000 6.3488
Ca P W Cl
1 1 1 2
direct
0.0000 0.0000 0.0000 Ca
0.0000 0.0000 0.5000 P
0.5000 0.5000 0.5000 W
0.0000 0.5000 0.0000 Cl
0.5000 0.0000 0.0000 Cl
```

P) takes first place; second place is 0.892 eV/atom up.

P) The following is a DFT calculation (PBE) of crystalline CaYPCl2 at its relaxed geometry.

* density of states at the Fermi level: 0.0 states/eV per cell
* crystal system: tetragonal
* calculated volume: 147 Å³/cell

```
CaYPCl2
1.0
5.1347 0.0000 0.0000
0.0000 5.1347 0.0000
0.0000 0.0000 5.5622
Ca Y P Cl
1 1 1 2
direct
0.0000 0.0000 0.0000 Ca
0.5000 0.5000 0.5000 Y
0.5000 0.5000 0.0000 P
0.0000 0.5000 0.5000 Cl
0.5000 0.0000 0.5000 Cl
```

Q) The following is a DFT calculation (PBE) of crystalline CaYPCl2 at its relaxed geometry.

* density of states at the Fermi level: 0.1 states/eV per cell
* crystal system: tetragonal
* calculated volume: 141 Å³/cell

```
CaYPCl2
1.0
4.8862 0.0000 0.0000
0.0000 4.8862 0.0000
0.0000 0.0000 5.8963
Ca Y P Cl
1 1 1 2
direct
0.0000 0.0000 0.0000 Ca
0.5000 0.5000 0.5000 Y
0.0000 0.0000 0.5000 P
0.0000 0.5000 0.0000 Cl
0.5000 0.0000 0.0000 Cl
```

P) takes first place; second place is 0.336 eV/atom up.

P) The following is a DFT calculation (PBE) of crystalline CaZnPCl2 at its relaxed geometry.

* density of states at the Fermi level: 3.3 states/eV per cell
* crystal system: tetragonal
* calculated volume: 118 Å³/cell

```
CaZnPCl2
1.0
4.9445 0.0000 0.0000
0.0000 4.9445 0.0000
0.0000 0.0000 4.8175
Ca Zn P Cl
1 1 1 2
direct
0.0000 0.0000 0.0000 Ca
0.5000 0.5000 0.5000 Zn
0.5000 0.5000 0.0000 P
0.0000 0.5000 0.5000 Cl
0.5000 0.0000 0.5000 Cl
```

Q) The following is a DFT calculation (PBE) of crystalline CaZnPCl2 at its relaxed geometry.

* density of states at the Fermi level: 1.9 states/eV per cell
* crystal system: tetragonal
* calculated volume: 164 Å³/cell

```
CaZnPCl2
1.0
5.2201 0.0000 0.0000
0.0000 5.2201 0.0000
0.0000 0.0000 6.0182
Ca Zn P Cl
1 1 1 2
direct
0.0000 0.0000 0.0000 Ca
0.5000 0.5000 0.5000 Zn
0.0000 0.0000 0.5000 P
0.0000 0.5000 0.0000 Cl
0.5000 0.0000 0.0000 Cl
```

P) takes first place; second place is 0.238 eV/atom up.

P) The following is a DFT calculation (PBE) of crystalline Ca2PaCl8 at its relaxed geometry.

* density of states at the Fermi level: 0.3 states/eV per cell
* crystal system: monoclinic
* calculated volume: 325 Å³/cell

```
Ca2PaCl8
1.0
5.7639 -4.5147 0.0000
5.7639 4.5147 0.0000
-1.9329 0.0000 6.2385
Ca Pa Cl
2 1 8
direct
0.1622 0.1622 0.4417 Ca
0.8378 0.8378 0.5583 Ca
0.5000 0.5000 0.0000 Pa
0.0730 0.0730 0.7735 Cl
0.1569 0.5481 0.7367 Cl
0.3573 0.3573 0.2441 Cl
0.4519 0.8431 0.2633 Cl
0.5481 0.1569 0.7367 Cl
0.6427 0.6427 0.7559 Cl
0.8431 0.4519 0.2633 Cl
0.9270 0.9270 0.2265 Cl
```

Q) The following is a DFT calculation (PBE) of crystalline Ca2PaCl8 at its relaxed geometry.

* density of states at the Fermi level: 1.9 states/eV per cell
* crystal system: monoclinic
* calculated volume: 304 Å³/cell

```
Ca2PaCl8
1.0
3.8445 -6.0113 0.0000
3.8445 6.0113 0.0000
-1.0843 0.0000 6.5690
Ca Pa Cl
2 1 8
direct
0.1935 0.8065 0.0000 Ca
0.8065 0.1935 0.0000 Ca
0.5000 0.5000 0.5000 Pa
0.1581 0.4255 0.8479 Cl
0.1732 0.1732 0.2887 Cl
0.2864 0.7136 0.5000 Cl
0.4255 0.1581 0.8479 Cl
0.5745 0.8419 0.1521 Cl
0.7136 0.2864 0.5000 Cl
0.8268 0.8268 0.7113 Cl
0.8419 0.5745 0.1521 Cl
```

P) takes first place; second place is 0.159 eV/atom up.